Density functional theory data (PBE-GGA) for a geometry-optimized AcPrSi2Ni2 structure.

Unit cell a=4.0703 b=4.0703 c=8.8179 alpha=90.00 beta=90.00 gamma=120.00
Closest atoms and distances in Å follow each position.
Element x y z (fractional)
Ac  0.0000  0.0000  0.0000  6 Ni 3.28, 6 Si 3.29
Pr  0.0000  0.0000  0.5000  6 Si 3.15, 6 Ni 3.17
Si  0.6667  0.3333  0.7383  3 Ni 2.35
Si  0.3333  0.6667  0.2617  3 Ni 2.35
Ni  0.6667  0.3333  0.2592  3 Si 2.35
Ni  0.3333  0.6667  0.7408  3 Si 2.35

Output
**Fermi-level density of states**: 5.312 states/eV per cell
**Formation energy (no corrections)**: -665 meV per atom